Entry 1:
In2PBr | PBE | relaxed

For the raw total energy, the calculation gives -3.2694 eV/atom. Its uncorrected formation energy is -129 meV per atom. For the energy above the most stable polymorph in this dataset, the calculation gives 93 meV per atom. The calculated density comes out at 5.224 g/cm³.

a = 4.306 Å, b = 5.846 Å, c = 4.308 Å
α = 90.00°, β = 93.22°, γ = 90.00°
Fractional positions:
In1 0.000 0.000 0.000
In2 0.435 0.500 0.569
P1 0.440 0.000 0.563
Br1 0.925 0.500 0.080


Entry 2:
InPBr2 | PBE | relaxed

For the raw total energy, the calculation gives -2.6982 eV/atom. Its uncorrected formation energy is 175 meV per atom. For the energy above the most stable polymorph in this dataset, the calculation gives 570 meV per atom. The calculated density comes out at 4.634 g/cm³.

a = 5.746 Å, b = 5.257 Å, c = 5.233 Å
α = 66.44°, β = 56.98°, γ = 56.58°
Fractional positions:
In1 0.000 0.000 0.000
P1 0.500 0.500 0.500
Br1 0.000 0.500 0.500
Br2 0.500 0.000 0.000


Entry 3:
InPBr2 | PBE | relaxed

For the raw total energy, the calculation gives -2.8725 eV/atom. Its uncorrected formation energy is 1 meV per atom. For the energy above the most stable polymorph in this dataset, the calculation gives 396 meV per atom. The calculated density comes out at 3.596 g/cm³.

a = 5.880 Å, b = 3.552 Å, c = 7.294 Å
α = 90.00°, β = 112.14°, γ = 90.00°
Fractional positions:
In1 0.000 0.000 0.000
P1 0.500 0.000 0.000
Br1 0.354 0.500 0.723
Br2 0.646 0.500 0.277


Entry 4:
InPBr | PBE | relaxed

For the raw total energy, the calculation gives -3.2486 eV/atom. Its uncorrected formation energy is 25 meV per atom. For the energy above the most stable polymorph in this dataset, the calculation gives 166 meV per atom. The calculated density comes out at 4.638 g/cm³.

a = 4.233 Å, b = 4.233 Å, c = 5.207 Å
α = 90.00°, β = 90.00°, γ = 120.00°
Fractional positions:
In1 0.000 0.000 0.000
P1 0.667 0.333 0.148
Br1 0.333 0.667 0.610


Entry 5:
InPBr2 | PBE | relaxed

For the raw total energy, the calculation gives -2.8264 eV/atom. Its uncorrected formation energy is 47 meV per atom. For the energy above the most stable polymorph in this dataset, the calculation gives 442 meV per atom. The calculated density comes out at 3.820 g/cm³.

a = 4.254 Å, b = 4.254 Å, c = 9.135 Å
α = 90.00°, β = 90.00°, γ = 126.50°
Fractional positions:
In1 0.000 0.000 0.000
P1 0.500 0.500 0.798
Br1 0.000 0.000 0.619
Br2 0.500 0.500 0.219


Entry 6:
In2PBr | PBE | relaxed

For the raw total energy, the calculation gives -3.2382 eV/atom. Its uncorrected formation energy is -98 meV per atom. For the energy above the most stable polymorph in this dataset, the calculation gives 124 meV per atom. The calculated density comes out at 5.310 g/cm³.

a = 7.863 Å, b = 7.863 Å, c = 7.863 Å
α = 152.12°, β = 152.01°, γ = 39.92°
Fractional positions:
In1 0.000 0.000 0.000
In2 0.799 0.299 0.500
P1 0.350 0.850 0.500
Br1 0.621 0.621 0.000


Entry 7:
InPBr2 | PBE | relaxed

For the raw total energy, the calculation gives -2.4327 eV/atom. Its uncorrected formation energy is 441 meV per atom. For the energy above the most stable polymorph in this dataset, the calculation gives 836 meV per atom. The calculated density comes out at 5.329 g/cm³.

a = 5.126 Å, b = 5.126 Å, c = 5.126 Å
α = 60.00°, β = 60.00°, γ = 60.00°
Fractional positions:
In1 0.000 0.000 0.000
P1 0.250 0.250 0.250
Br1 0.500 0.500 0.500
Br2 0.750 0.750 0.750


Entry 8:
In2PBr | PBE | relaxed

For the raw total energy, the calculation gives -3.3621 eV/atom. Its uncorrected formation energy is -222 meV per atom. For the energy above the most stable polymorph in this dataset, the calculation gives 0 meV per atom. The calculated density comes out at 5.260 g/cm³.

a = 7.541 Å, b = 7.541 Å, c = 7.541 Å
α = 32.08°, β = 32.08°, γ = 32.08°
Fractional positions:
In1 0.232 0.232 0.232
In2 0.768 0.768 0.768
P1 0.500 0.500 0.500
Br1 0.000 0.000 0.000


Entry 9:
InPBr2 | PBE | relaxed

For the raw total energy, the calculation gives -3.1240 eV/atom. Its uncorrected formation energy is -250 meV per atom. For the energy above the most stable polymorph in this dataset, the calculation gives 144 meV per atom. The calculated density comes out at 4.099 g/cm³.

a = 3.855 Å, b = 3.855 Å, c = 8.330 Å
α = 90.00°, β = 90.00°, γ = 90.00°
Fractional positions:
In1 0.000 0.000 0.000
P1 0.500 0.500 0.921
Br1 0.000 0.000 0.303
Br2 0.500 0.500 0.654


Entry 10:
In3PBr | PBE | relaxed

For the raw total energy, the calculation gives -2.4090 eV/atom. Its uncorrected formation energy is 651 meV per atom. For the energy above the most stable polymorph in this dataset, the calculation gives 582 meV per atom. The calculated density comes out at 3.697 g/cm³.

a = 5.892 Å, b = 5.892 Å, c = 5.892 Å
α = 90.00°, β = 90.00°, γ = 90.00°
Fractional positions:
In1 0.000 0.000 0.500
In2 0.000 0.500 0.000
In3 0.500 0.000 0.000
P1 0.500 0.500 0.500
Br1 0.000 0.000 0.000


Entry 11:
InPBr | PBE | relaxed

For the raw total energy, the calculation gives -3.2490 eV/atom. Its uncorrected formation energy is 25 meV per atom. For the energy above the most stable polymorph in this dataset, the calculation gives 165 meV per atom. The calculated density comes out at 4.363 g/cm³.

a = 6.343 Å, b = 6.343 Å, c = 6.343 Å
α = 144.43°, β = 144.43°, γ = 51.19°
Fractional positions:
In1 0.000 0.000 0.000
P1 0.532 0.532 0.000
Br1 0.746 0.746 0.000


Entry 12:
In3PBr | PBE | relaxed

For the raw total energy, the calculation gives -2.9911 eV/atom. Its uncorrected formation energy is 69 meV per atom. For the energy above the most stable polymorph in this dataset, the calculation gives 0 meV per atom. The calculated density comes out at 4.844 g/cm³.

a = 5.384 Å, b = 5.384 Å, c = 5.384 Å
α = 90.00°, β = 90.00°, γ = 90.00°
Fractional positions:
In1 0.000 0.000 0.500
In2 0.000 0.500 0.000
In3 0.500 0.000 0.000
P1 0.000 0.000 0.000
Br1 0.500 0.500 0.500


| no. | calculated volume (Å³/f.u.) |
| --- | --- |
| 1 | 108.2 |
| 2 | 109.5 |
| 3 | 141.1 |
| 4 | 80.8 |
| 5 | 132.9 |
| 6 | 106.5 |
| 7 | 95.2 |
| 8 | 107.5 |
| 9 | 123.8 |
| 10 | 204.5 |
| 11 | 85.9 |
| 12 | 156.1 |